## 1
The following is a GGA-PBEsol calculation of BeCo2Cl after structural relaxation, from the Alexandria database.

Cell and atoms, written as extended XYZ:
```
4
Lattice="-1.637 -1.093 1.867 1.113 -2.989 -0.773 4.123 2.529 3.125" Properties=species:S:1:pos:R:3 pbc="T T T"
Co 0.506 -0.379 2.194
Be 0.059 -2.000 0.852
Co 3.463 -1.570 4.090
Cl 2.907 -1.197 1.849
```

Summary:
As for the symmetry: No. 44. The calculation puts the density of states at the Fermi level at 4.65 states/eV per cell. The calculation puts the magnetic moment at 2.3 μB/f.u.

=====

## 2
The following is a GGA-PBEsol calculation of BeCo2Cl after structural relaxation, from the Alexandria database.

Cell and atoms, written as extended XYZ:
```
4
Lattice="2.756 0.005 0.000 -0.028 4.285 0.000 -1.364 -2.145 3.692" Properties=species:S:1:pos:R:3 pbc="T T T"
Co -0.682 -1.073 1.846
Cl 1.364 2.145 0.000
Be 0.000 0.000 0.000
Co 0.682 1.073 1.846
```

Summary:
As for the symmetry: No. 12. The calculation puts the density of states at the Fermi level at 4.62 states/eV per cell. The calculation puts the magnetic moment at 1.2 μB/f.u.

=====

Winner for stability: 1

=====

## 1
The following is a GGA-PBEsol calculation of BeCo2Cl after structural relaxation, from the Alexandria database.

Cell and atoms, written as extended XYZ:
```
4
Lattice="2.713 0.000 0.000 0.000 3.698 0.000 0.000 0.000 4.363" Properties=species:S:1:pos:R:3 pbc="T T T"
Cl 0.000 1.849 2.182
Co 0.000 0.000 0.000
Co 1.356 0.000 2.182
Be 1.356 1.849 0.000
```

Summary:
As for the symmetry: No. 47. The calculation puts the density of states at the Fermi level at 4.65 states/eV per cell. The calculation puts the magnetic moment at 1.5 μB/f.u.

=====

## 2
The following is a GGA-PBEsol calculation of BeCo2Cl after structural relaxation, from the Alexandria database.

Cell and atoms, written as extended XYZ:
```
4
Lattice="-0.473 1.379 -2.474 -1.089 -2.404 -1.132 -5.116 1.471 1.798" Properties=species:S:1:pos:R:3 pbc="T T T"
Cl -4.440 0.539 -0.517
Co -0.242 0.070 0.085
Co -2.264 -0.086 -1.282
Be -2.290 0.658 0.805
```

Summary:
As for the symmetry: No. 99. The calculation puts the density of states at the Fermi level at 3.49 states/eV per cell. The calculation puts the magnetic moment at 3.0 μB/f.u.

=====

Winner for stability: 2

=====

## 1
The following is a GGA-PBEsol calculation of BeCrCl2 after structural relaxation, from the Alexandria database.

Cell and atoms, written as extended XYZ:
```
4
Lattice="3.209 0.000 0.000 0.000 3.209 0.000 0.000 0.000 6.136" Properties=species:S:1:pos:R:3 pbc="T T T"
Cl 0.000 0.000 1.529
Be 1.604 1.604 3.068
Cr 1.604 1.604 0.000
Cl 0.000 0.000 4.607
```

Summary:
As for the symmetry: No. 123. The calculation puts the density of states at the Fermi level at 0.87 states/eV per cell. The calculation puts the magnetic moment at 4.2 μB/f.u.

=====

## 2
The following is a GGA-PBEsol calculation of BeCrCl2 after structural relaxation, from the Alexandria database.

Cell and atoms, written as extended XYZ:
```
4
Lattice="2.945 0.000 0.000 0.000 2.945 0.000 0.000 0.000 6.886" Properties=species:S:1:pos:R:3 pbc="T T T"
Cl 0.000 0.000 6.165
Cr 0.000 0.000 3.733
Cl 1.473 1.473 2.283
Be 1.473 1.473 5.033
```

Summary:
As for the symmetry: No. 99. The calculation puts the density of states at the Fermi level at 2.60 states/eV per cell. The calculation puts the magnetic moment at 1.9 μB/f.u.

=====

Winner for stability: 2

=====

## 1
The following is a GGA-PBEsol calculation of BeCrCl2 after structural relaxation, from the Alexandria database.

Cell and atoms, written as extended XYZ:
```
4
Lattice="3.085 0.000 0.000 1.543 2.667 -0.154 1.543 -0.332 7.896" Properties=species:S:1:pos:R:3 pbc="T T T"
Be 1.543 -0.067 1.994
Cr 3.085 0.924 3.761
Cl 3.085 0.751 0.727
Cl 4.628 1.895 5.132
```

Summary:
As for the symmetry: No. 8. The calculation puts the density of states at the Fermi level at 1.13 states/eV per cell. The calculation puts the magnetic moment at 2.1 μB/f.u.

=====

## 2
The following is a GGA-PBEsol calculation of BeCrCl2 after structural relaxation, from the Alexandria database.

Cell and atoms, written as extended XYZ:
```
4
Lattice="-1.845 2.003 1.387 -3.031 -0.372 -0.126 -1.364 -3.849 7.111" Properties=species:S:1:pos:R:3 pbc="T T T"
Cr -3.122 -1.070 4.127
Be -1.560 -0.548 2.083
Cl -4.852 1.224 1.881
Cl -4.701 -1.302 5.729
```

Summary:
As for the symmetry: No. 160. The calculation puts the density of states at the Fermi level at 0.13 states/eV per cell. The calculation puts the magnetic moment at 2.0 μB/f.u.

=====

Winner for stability: 1

=====

## 1
The following is a GGA-PBEsol calculation of Be2CuCl after structural relaxation, from the Alexandria database.

Cell and atoms, written as extended XYZ:
```
4
Lattice="2.878 0.000 0.000 1.439 3.782 0.137 1.439 0.324 5.175" Properties=species:S:1:pos:R:3 pbc="T T T"
Cu 1.439 0.000 0.000
Be 4.317 1.951 4.465
Cl 2.878 2.053 2.656
Be 1.439 2.155 0.847
```

Summary:
As for the symmetry: No. 12. The calculation puts the density of states at the Fermi level at 1.00 states/eV per cell. The calculation puts the magnetic moment at 0.0 μB/f.u.

=====

## 2
The following is a GGA-PBEsol calculation of Be2CuCl after structural relaxation, from the Alexandria database.

Cell and atoms, written as extended XYZ:
```
4
Lattice="-2.197 1.514 -1.075 -1.954 -2.098 1.038 -0.612 3.450 6.110" Properties=species:S:1:pos:R:3 pbc="T T T"
Cu -2.637 2.780 5.454
Be -0.618 3.443 6.111
Be -2.198 0.422 1.238
Cl -1.206 0.347 2.954
```

Summary:
As for the symmetry: No. 6. The calculation puts the density of states at the Fermi level at 1.20 states/eV per cell. The calculation puts the magnetic moment at 0.0 μB/f.u.

=====

## 3
The following is a GGA-PBEsol calculation of Be2CuCl after structural relaxation, from the Alexandria database.

Cell and atoms, written as extended XYZ:
```
4
Lattice="4.148 0.000 0.000 2.074 3.592 0.000 2.074 1.197 3.387" Properties=species:S:1:pos:R:3 pbc="T T T"
Be 2.074 1.197 0.847
Be 6.222 3.592 2.540
Cu 4.148 2.395 1.693
Cl 0.000 0.000 0.000
```

Summary:
As for the symmetry: No. 225. The calculation puts the density of states at the Fermi level at 2.58 states/eV per cell. The calculation puts the magnetic moment at 0.0 μB/f.u.

=====

Winner for stability: 2

=====

## 1
The following is a GGA-PBEsol calculation of BeFeCl2 after structural relaxation, from the Alexandria database.

Cell and atoms, written as extended XYZ:
```
4
Lattice="2.993 0.000 0.000 -1.497 2.844 0.000 0.000 0.000 8.293" Properties=species:S:1:pos:R:3 pbc="T T T"
Cl 0.000 0.000 7.538
Be 1.497 0.000 6.206
Cl 1.497 0.000 2.653
Fe 0.000 0.000 4.336
```

Summary:
As for the symmetry: No. 35. The calculation puts the density of states at the Fermi level at 1.50 states/eV per cell. The calculation puts the magnetic moment at 3.0 μB/f.u.

=====

## 2
The following is a GGA-PBEsol calculation of BeFeCl2 after structural relaxation, from the Alexandria database.

Cell and atoms, written as extended XYZ:
```
4
Lattice="-0.256 -0.963 -2.747 -0.812 -2.718 1.029 -6.827 3.544 -0.605" Properties=species:S:1:pos:R:3 pbc="T T T"
Cl -6.366 2.833 -0.399
Cl -3.125 -1.593 -0.704
Be -5.185 1.959 -1.757
Fe -3.866 0.621 0.143
```

Summary:
As for the symmetry: No. 6. The calculation puts the density of states at the Fermi level at 2.73 states/eV per cell. The calculation puts the magnetic moment at 3.0 μB/f.u.

=====

## 3
The following is a GGA-PBEsol calculation of BeFeCl2 after structural relaxation, from the Alexandria database.

Cell and atoms, written as extended XYZ:
```
8
Lattice="5.002 0.000 0.000 0.000 5.002 0.000 -2.501 -2.501 4.725" Properties=species:S:1:pos:R:3 pbc="T T T"
Cl 3.582 1.251 1.181
Be 2.501 0.000 2.362
Cl 1.420 3.752 1.181
Cl 1.251 1.081 3.543
Be 2.501 2.501 0.000
Cl -1.251 -1.081 3.543
Fe 0.000 0.000 0.000
Fe 0.000 2.501 2.362
```

Summary:
As for the symmetry: No. 122. The calculation puts the density of states at the Fermi level at 4.55 states/eV per cell. The calculation puts the magnetic moment at 2.0 μB/f.u.

=====

Winner for stability: 1